Record 1
Ti2Te2Br: relaxed, PBE.

Calculated values
Its polymorph energy (0 for the lowest one) is 0.000 eV per atom. For the electronic total energy, the calculation gives -5.396 eV/atom. The raw formation energy comes out at -0.647 eV per atom. As for the space-group type: No. 139.

a b c (Å): 8.5844 8.5844 8.5844
angles (deg): 154.55 154.55 36.30
Fractional positions:
Ti  0.1896  0.1896  0.0000
Ti  0.8104  0.8104  0.0000
Te  0.3612  0.3612  0.0000
Te  0.6388  0.6388  0.0000
Br  0.0000  0.0000  0.0000

Record 2
TiTe2Br2: relaxed, PBE.

Calculated values
For the electronic total energy, the calculation gives -4.208 eV/atom. The raw formation energy comes out at -0.703 eV per atom. As for the space-group type: No. 12.

a b c (Å): 7.2111 7.2111 7.9898
angles (deg): 100.69 100.69 122.77
Fractional positions:
Ti  0.1448  0.8552  0.0000
Ti  0.8552  0.1448  0.0000
Te  0.1114  0.1114  0.3128
Te  0.3419  0.3419  0.1093
Te  0.6581  0.6581  0.8907
Te  0.8886  0.8886  0.6872
Br  0.0160  0.4530  0.7923
Br  0.4530  0.0160  0.7923
Br  0.5470  0.9840  0.2077
Br  0.9840  0.5470  0.2077

Record 3
Ti2Te2Br: relaxed, PBE.

Calculated values
Its polymorph energy (0 for the lowest one) is 0.083 eV per atom. For the electronic total energy, the calculation gives -5.314 eV/atom. The raw formation energy comes out at -0.564 eV per atom. As for the space-group type: No. 127.

a b c (Å): 7.8977 7.8977 3.6163
angles (deg): 90.00 90.00 90.00
Fractional positions:
Ti  0.1277  0.3723  0.0000
Ti  0.3723  0.8723  0.0000
Ti  0.6277  0.1277  0.0000
Ti  0.8723  0.6277  0.0000
Te  0.1486  0.6486  0.5000
Te  0.3514  0.1486  0.5000
Te  0.6486  0.8514  0.5000
Te  0.8514  0.3514  0.5000
Br  0.0000  0.0000  0.0000
Br  0.5000  0.5000  0.0000

Record 4
Ti3TeBr: relaxed, PBE.

Calculated values
Its polymorph energy (0 for the lowest one) is 0.373 eV per atom. For the electronic total energy, the calculation gives -4.944 eV/atom. The raw formation energy comes out at 0.756 eV per atom. As for the space-group type: No. 221.

a b c (Å): 5.2342 5.2342 5.2342
angles (deg): 90.00 90.00 90.00
Fractional positions:
Ti  0.0000  0.0000  0.5000
Ti  0.0000  0.5000  0.0000
Ti  0.5000  0.0000  0.0000
Te  0.0000  0.0000  0.0000
Br  0.5000  0.5000  0.5000

Record 5
TiTeBr2: relaxed, PBE.

Calculated values
Its polymorph energy (0 for the lowest one) is 0.533 eV per atom. For the electronic total energy, the calculation gives -3.691 eV/atom. The raw formation energy comes out at -0.096 eV per atom. As for the space-group type: No. 166.

a b c (Å): 13.2722 13.2722 13.2722
angles (deg): 14.88 14.88 14.88
Fractional positions:
Ti  0.0000  0.0000  0.0000
Te  0.5000  0.5000  0.5000
Br  0.0592  0.0592  0.0592
Br  0.9408  0.9408  0.9408

Record 6
TiTeBr2: relaxed, PBE.

Calculated values
Its polymorph energy (0 for the lowest one) is 0.820 eV per atom. For the electronic total energy, the calculation gives -3.404 eV/atom. The raw formation energy comes out at 0.192 eV per atom. As for the space-group type: No. 225.

a b c (Å): 5.0858 5.0858 5.0858
angles (deg): 60.00 60.00 60.00
Fractional positions:
Ti  0.0000  0.0000  0.0000
Te  0.5000  0.5000  0.5000
Br  0.2500  0.2500  0.2500
Br  0.7500  0.7500  0.7500

Record 7
Ti3TeBr: relaxed, PBE.

Calculated values
Its polymorph energy (0 for the lowest one) is 0.000 eV per atom. For the electronic total energy, the calculation gives -5.317 eV/atom. The raw formation energy comes out at 0.383 eV per atom. As for the space-group type: No. 221.

a b c (Å): 4.7254 4.7254 4.7254
angles (deg): 90.00 90.00 90.00
Fractional positions:
Ti  0.0000  0.0000  0.5000
Ti  0.0000  0.5000  0.0000
Ti  0.5000  0.0000  0.0000
Te  0.5000  0.5000  0.5000
Br  0.0000  0.0000  0.0000

Record 8
TiTeBr2: relaxed, PBE.

Calculated values
Its polymorph energy (0 for the lowest one) is 0.596 eV per atom. For the electronic total energy, the calculation gives -3.628 eV/atom. The raw formation energy comes out at -0.032 eV per atom. As for the space-group type: No. 122.

a b c (Å): 7.2316 7.2316 7.2316
angles (deg): 117.08 117.08 95.14
Fractional positions:
Ti  0.0000  0.0000  0.0000
Ti  0.7500  0.2500  0.5000
Te  0.2500  0.7500  0.5000
Te  0.5000  0.5000  0.0000
Br  0.0070  0.6250  0.8820
Br  0.3750  0.2570  0.3820
Br  0.7430  0.1250  0.1180
Br  0.8750  0.9930  0.6180